SmGa4Pd2Rh PBE optimized geometry; calculated total energy = -4.99 eV per atom; SG = No. 166
1.0
4.285 0.000 0.000
2.142 3.711 0.000
2.142 1.237 8.800
Sm Ga Pd Rh
1 4 2 1
direct
0.000 0.000 0.000
0.400 0.400 0.801
0.867 0.867 0.398
0.133 0.133 0.602
0.600 0.600 0.199
0.764 0.764 0.708
0.236 0.236 0.292
0.500 0.500 0.500



Nd2Zn5Au PBE optimized geometry; calculated total energy = -2.83 eV per atom; SG = No. 63
1.0
4.378 0.000 0.000
-2.189 8.289 0.000
0.000 0.000 9.016
Nd Zn Au
4 10 2
direct
0.801 0.602 0.750
0.199 0.398 0.250
0.000 0.000 0.000
0.000 0.000 0.500
0.186 0.372 0.892
0.814 0.628 0.108
0.186 0.372 0.608
0.814 0.628 0.392
0.346 0.692 0.980
0.654 0.308 0.020
0.346 0.692 0.520
0.654 0.308 0.480
0.604 0.208 0.750
0.396 0.792 0.250
0.447 0.894 0.750
0.553 0.106 0.250



no.,formation energy (eV/atom)
1,-0.671
2,-0.432